Material: Tl3Ge5O12
Method: DFT, GGA-PBE
State: optimized geometry

Properties
Formation energy without anion corrections: -1.184 eV per atom
Space group: Ia-3d
Spin magnetization: 0.00 Bohr magnetons per cell

abc: 11.0962 11.0962 11.0962
angles: 109.47 109.47 109.47
Closest atoms and distances in Å follow each position.
Fractional coordinates of all 80 atoms:
Tl  0.1250  0.2500  0.3750  8 O 2.57-2.75
Tl  0.1250  0.3750  0.7500  8 O 2.57-2.75
Tl  0.2500  0.3750  0.1250  8 O 2.57-2.75
Tl  0.2500  0.8750  0.6250  8 O 2.57-2.75
Tl  0.3750  0.1250  0.2500  8 O 2.57-2.75
Tl  0.3750  0.7500  0.1250  8 O 2.57-2.75
Tl  0.6250  0.2500  0.8750  8 O 2.57-2.75
Tl  0.6250  0.8750  0.7500  8 O 2.57-2.75
Tl  0.7500  0.1250  0.3750  8 O 2.57-2.75
Tl  0.7500  0.6250  0.8750  8 O 2.57-2.75
Tl  0.8750  0.6250  0.2500  8 O 2.57-2.75
Tl  0.8750  0.7500  0.6250  8 O 2.57-2.75
Ge  0.0000  0.0000  0.0000  6 O 1.98
Ge  0.0000  0.0000  0.5000  6 O 1.98
Ge  0.0000  0.5000  0.0000  6 O 1.98
Ge  0.0000  0.5000  0.5000  6 O 1.98
Ge  0.1250  0.7500  0.8750  4 O 1.82
Ge  0.1250  0.8750  0.2500  4 O 1.82
Ge  0.2500  0.1250  0.8750  4 O 1.82
Ge  0.2500  0.6250  0.3750  4 O 1.82
Ge  0.3750  0.2500  0.6250  4 O 1.82
Ge  0.3750  0.6250  0.7500  4 O 1.82
Ge  0.5000  0.0000  0.0000  6 O 1.98
Ge  0.5000  0.0000  0.5000  6 O 1.98
Ge  0.5000  0.5000  0.0000  6 O 1.98
Ge  0.5000  0.5000  0.5000  6 O 1.98
Ge  0.6250  0.3750  0.2500  4 O 1.82
Ge  0.6250  0.7500  0.3750  4 O 1.82
Ge  0.7500  0.3750  0.6250  4 O 1.82
Ge  0.7500  0.8750  0.1250  4 O 1.82
Ge  0.8750  0.1250  0.7500  4 O 1.82
Ge  0.8750  0.2500  0.1250  4 O 1.82
O  0.9996  0.1836  0.1029  2 Ge 1.82-1.98
O  0.9996  0.3160  0.8967  2 Ge 1.82-1.98
O  0.0004  0.6840  0.1033  2 Ge 1.82-1.98
O  0.0004  0.8164  0.8971  2 Ge 1.82-1.98
O  0.0807  0.6836  0.6840  2 Ge 1.82-1.98
O  0.0807  0.8971  0.3967  2 Ge 1.82-1.98
O  0.1029  0.9996  0.1836  2 Ge 1.82-1.98
O  0.1033  0.0004  0.6840  2 Ge 1.82-1.98
O  0.1033  0.6029  0.4193  2 Ge 1.82-1.98
O  0.1029  0.6033  0.9193  2 Ge 1.82-1.98
O  0.1836  0.1029  0.9996  2 Ge 1.82-1.98
O  0.1840  0.1836  0.5807  2 Ge 1.82-1.98
O  0.1840  0.5004  0.6033  2 Ge 1.82-1.98
O  0.1836  0.5807  0.1840  2 Ge 1.82-1.98
O  0.3164  0.3160  0.9193  2 Ge 1.82-1.98
O  0.3164  0.5004  0.3971  2 Ge 1.82-1.98
O  0.3160  0.8967  0.9996  2 Ge 1.82-1.98
O  0.3160  0.9193  0.3164  2 Ge 1.82-1.98
O  0.3967  0.0807  0.8971  2 Ge 1.82-1.98
O  0.3971  0.3164  0.5004  2 Ge 1.82-1.98
O  0.3971  0.5807  0.8967  2 Ge 1.82-1.98
O  0.3967  0.8160  0.4996  2 Ge 1.82-1.98
O  0.4193  0.1033  0.6029  2 Ge 1.82-1.98
O  0.4193  0.8160  0.8164  2 Ge 1.82-1.98
O  0.5004  0.3971  0.3164  2 Ge 1.82-1.98
O  0.4996  0.3967  0.8160  2 Ge 1.82-1.98
O  0.5004  0.6033  0.1840  2 Ge 1.82-1.98
O  0.4996  0.6029  0.6836  2 Ge 1.82-1.98
O  0.5807  0.1840  0.1836  2 Ge 1.82-1.98
O  0.5807  0.8967  0.3971  2 Ge 1.82-1.98
O  0.6033  0.1840  0.5004  2 Ge 1.82-1.98
O  0.6029  0.4193  0.1033  2 Ge 1.82-1.98
O  0.6029  0.6836  0.4996  2 Ge 1.82-1.98
O  0.6033  0.9193  0.1029  2 Ge 1.82-1.98
O  0.6840  0.0807  0.6836  2 Ge 1.82-1.98
O  0.6840  0.1033  0.0004  2 Ge 1.82-1.98
O  0.6836  0.4996  0.6029  2 Ge 1.82-1.98
O  0.6836  0.6840  0.0807  2 Ge 1.82-1.98
O  0.8164  0.4193  0.8160  2 Ge 1.82-1.98
O  0.8160  0.4996  0.3967  2 Ge 1.82-1.98
O  0.8160  0.8164  0.4193  2 Ge 1.82-1.98
O  0.8164  0.8971  0.0004  2 Ge 1.82-1.98
O  0.8967  0.9996  0.3160  2 Ge 1.82-1.98
O  0.8971  0.0004  0.8164  2 Ge 1.82-1.98
O  0.8971  0.3967  0.0807  2 Ge 1.82-1.98
O  0.8967  0.3971  0.5807  2 Ge 1.82-1.98
O  0.9193  0.1029  0.6033  2 Ge 1.82-1.98
O  0.9193  0.3164  0.3160  2 Ge 1.82-1.98